Entry 1:
Entry from Alexandria via LeMat-Bulk: crystalline Hf8Pd2N3 at its relaxed geometry (PBE-GGA).

a = 5.762 Å, b = 6.527 Å, c = 7.212 Å
α = 116.90°, β = 104.78°, γ = 90.00°
Fractional coordinates of all 13 atoms:
Hf 0.934 0.603 0.207
Hf 0.066 0.397 0.793
Hf 0.892 0.101 0.203
Hf 0.108 0.899 0.797
Hf 0.607 0.656 0.805
Hf 0.607 0.149 0.805
Hf 0.393 0.851 0.195
Hf 0.393 0.344 0.195
Pd 0.322 0.256 0.513
Pd 0.678 0.744 0.487
N 0.500 0.000 0.000
N 0.000 0.235 0.000
N 0.000 0.765 0.000


Entry 2:
Entry from Alexandria via LeMat-Bulk: crystalline Hf4Pd2N at its relaxed geometry (PBE-GGA).

a = 3.145 Å, b = 5.635 Å, c = 7.699 Å
α = 113.64°, β = 101.79°, γ = 90.00°
Fractional coordinates of all 7 atoms:
Hf 0.915 0.245 0.830
Hf 0.085 0.755 0.170
Hf 0.597 0.254 0.195
Hf 0.403 0.746 0.805
Pd 0.745 0.766 0.491
Pd 0.255 0.234 0.509
N 0.000 0.000 0.000

Properties
E above lowest polymorph ... 0.069 eV per atom


Entry 3:
Entry from Alexandria via LeMat-Bulk: crystalline Hf5Pd4N at its relaxed geometry (PBE-GGA).

a = 4.784 Å, b = 6.490 Å, c = 6.490 Å
α = 82.19°, β = 68.37°, γ = 68.37°
Fractional coordinates of all 10 atoms:
Hf 0.872 0.353 0.906
Hf 0.224 0.906 0.647
Hf 0.778 0.094 0.353
Hf 0.130 0.647 0.094
Hf 0.501 0.000 0.000
Pd 0.448 0.398 0.707
Pd 0.847 0.707 0.602
Pd 0.155 0.293 0.398
Pd 0.554 0.602 0.293
N 0.001 0.000 0.000


Entry 4:
Entry from Alexandria via LeMat-Bulk: crystalline Hf6Pd3N2 at its relaxed geometry (PBE-GGA).

a = 3.229 Å, b = 3.229 Å, c = 20.610 Å
α = 85.51°, β = 85.51°, γ = 60.00°
Fractional coordinates of all 11 atoms:
Hf 0.896 0.896 0.312
Hf 0.104 0.104 0.688
Hf 0.812 0.812 0.564
Hf 0.188 0.188 0.436
Hf 0.632 0.632 0.103
Hf 0.368 0.368 0.897
Pd 0.000 0.000 0.000
Pd 0.734 0.734 0.797
Pd 0.266 0.266 0.203
N 0.542 0.542 0.373
N 0.458 0.458 0.627


Entry 5:
Entry from Alexandria via LeMat-Bulk: crystalline Hf4Pd2N at its relaxed geometry (PBE-GGA).

a = 4.351 Å, b = 4.351 Å, c = 7.404 Å
α = 72.91°, β = 72.91°, γ = 90.00°
Fractional coordinates of all 7 atoms:
Hf 0.178 0.178 0.644
Hf 0.822 0.822 0.356
Hf 0.000 0.500 0.000
Hf 0.500 0.000 0.000
Pd 0.366 0.366 0.268
Pd 0.634 0.634 0.732
N 0.000 0.000 0.000

Properties
E above lowest polymorph ... 0.000 eV per atom


Entry 6:
Entry from Alexandria via LeMat-Bulk: crystalline HfPd2N at its relaxed geometry (PBE-GGA).

a = 4.888 Å, b = 4.888 Å, c = 6.920 Å
α = 69.32°, β = 69.32°, γ = 90.00°
Fractional coordinates of all 8 atoms:
Hf 0.000 0.000 0.000
Hf 0.750 0.250 0.500
Pd 0.513 0.125 0.250
Pd 0.237 0.625 0.250
Pd 0.375 0.487 0.750
Pd 0.875 0.763 0.750
N 0.500 0.500 0.000
N 0.250 0.750 0.500


Entry 7:
Entry from Alexandria via LeMat-Bulk: crystalline Hf4PdN at its relaxed geometry (PBE-GGA).

a = 5.582 Å, b = 6.395 Å, c = 7.398 Å
α = 109.46°, β = 105.30°, γ = 105.22°
Fractional coordinates of all 12 atoms:
Hf 0.966 0.173 0.897
Hf 0.805 0.650 0.588
Hf 0.431 0.724 0.897
Hf 0.283 0.938 0.588
Hf 0.717 0.062 0.412
Hf 0.569 0.276 0.103
Hf 0.195 0.350 0.412
Hf 0.034 0.827 0.103
Pd 0.364 0.614 0.229
Pd 0.636 0.386 0.771
N 0.189 0.939 0.878
N 0.811 0.061 0.122


Entry 8:
Entry from Alexandria via LeMat-Bulk: crystalline Hf8Pd2N at its relaxed geometry (PBE-GGA).

a = 5.063 Å, b = 5.868 Å, c = 7.900 Å
α = 106.20°, β = 108.69°, γ = 90.00°
Fractional coordinates of all 11 atoms:
Hf 0.419 0.605 0.837
Hf 0.632 0.939 0.264
Hf 0.799 0.717 0.598
Hf 0.982 0.236 0.964
Hf 0.201 0.283 0.402
Hf 0.368 0.061 0.736
Hf 0.581 0.395 0.163
Hf 0.018 0.764 0.036
Pd 0.805 0.274 0.611
Pd 0.195 0.726 0.389
N 0.500 0.000 0.000


Entry 9:
Entry from Alexandria via LeMat-Bulk: crystalline PmHf2PdN4 at its relaxed geometry (PBE-GGA).

a = 3.268 Å, b = 5.818 Å, c = 11.561 Å
α = 90.00°, β = 90.00°, γ = 106.31°
Fractional coordinates of all 16 atoms:
Pm 0.120 0.241 0.750
Pm 0.880 0.759 0.250
Hf 0.368 0.736 0.550
Hf 0.632 0.264 0.050
Hf 0.632 0.264 0.450
Hf 0.368 0.736 0.950
Pd 0.856 0.713 0.750
Pd 0.144 0.287 0.250
N 0.267 0.533 0.103
N 0.733 0.467 0.603
N 0.733 0.467 0.897
N 0.267 0.533 0.397
N 0.000 0.000 0.500
N 0.000 0.000 0.000
N 0.468 0.936 0.750
N 0.532 0.064 0.250


Entry 10:
Entry from Alexandria via LeMat-Bulk: crystalline PrHf2PdN4 at its relaxed geometry (PBE-GGA).

a = 3.291 Å, b = 5.852 Å, c = 11.594 Å
α = 90.00°, β = 90.00°, γ = 106.33°
Fractional coordinates of all 16 atoms:
Pr 0.118 0.236 0.750
Pr 0.882 0.764 0.250
Hf 0.368 0.736 0.550
Hf 0.632 0.264 0.050
Hf 0.632 0.264 0.450
Hf 0.368 0.736 0.950
Pd 0.854 0.708 0.750
Pd 0.146 0.292 0.250
N 0.266 0.531 0.101
N 0.734 0.469 0.601
N 0.734 0.469 0.899
N 0.266 0.531 0.399
N 0.000 0.000 0.500
N 0.000 0.000 0.000
N 0.463 0.926 0.750
N 0.537 0.074 0.250


Entry 11:
Entry from Alexandria via LeMat-Bulk: crystalline HfPdRhN2 at its relaxed geometry (PBE-GGA).

a = 3.806 Å, b = 5.594 Å, c = 3.806 Å
α = 90.00°, β = 90.00°, γ = 90.00°
Last column: magnetic moment on the atom in μB.
Fractional coordinates of all 5 atoms:
Rh 0.000 0.000 0.000  0.05
Hf 0.000 0.500 0.000  -0.01
Pd 0.500 0.500 0.500  0.03
N 0.000 0.000 0.500  0.27
N 0.500 0.000 0.000  0.28


Entry 12:
Entry from Alexandria via LeMat-Bulk: crystalline HfPdS2N at its relaxed geometry (PBE-GGA).

a = 4.971 Å, b = 4.971 Å, c = 4.040 Å
α = 90.00°, β = 90.00°, γ = 90.00°
Fractional coordinates of all 5 atoms:
S 0.000 0.500 0.000
S 0.500 0.000 0.000
Hf 0.000 0.000 0.000
Pd 0.500 0.500 0.500
N 0.000 0.000 0.500

Properties
E above lowest polymorph ... 0.000 eV per atom


Number 1: raw total energy -125.5 eV for the cell shown, uncorrected formation energy -810 meV/atom. Number 2: raw total energy -63.7 eV for the cell shown, uncorrected formation energy -746 meV/atom. Number 3: raw total energy -87.1 eV for the cell shown, uncorrected formation energy -822 meV/atom. Number 4: raw total energy -101.9 eV for the cell shown, uncorrected formation energy -904 meV/atom. Number 5: raw total energy -64.2 eV for the cell shown, uncorrected formation energy -815 meV/atom. Number 6: raw total energy -54.6 eV for the cell shown, uncorrected formation energy 343 meV/atom. Number 7: raw total energy -114.5 eV for the cell shown, uncorrected formation energy -655 meV/atom. Number 8: raw total energy -101.9 eV for the cell shown, uncorrected formation energy -326 meV/atom. Number 9: raw total energy -144.1 eV for the cell shown, uncorrected formation energy -1115 meV/atom. Number 10: raw total energy -143.8 eV for the cell shown, uncorrected formation energy -1089 meV/atom. Number 11: raw total energy -34.3 eV for the cell shown, uncorrected formation energy 968 meV/atom. Number 12: raw total energy -31.0 eV for the cell shown, uncorrected formation energy 150 meV/atom.